Crystalline Nd8HoEr6 at its relaxed geometry, computed with PBE-GGA.

```
Nd8HoEr6
1.0
6.558 0.000 0.000
0.000 8.152 -4.706
0.000 0.000 9.413
Nd Ho Er
8 1 6
direct
0.833 0.038 0.288
0.833 0.712 0.750
0.833 0.250 0.962
0.167 0.962 0.712
0.167 0.288 0.250
0.167 0.750 0.038
0.880 0.333 0.667
0.120 0.667 0.333
0.500 0.000 0.000
0.657 0.657 0.095
0.657 0.905 0.562
0.657 0.438 0.343
0.343 0.343 0.905
0.343 0.095 0.438
0.343 0.562 0.657
```

## Properties
Energy of formation from the pure elements = 0.175 eV per atom
Symmetry = P-3
E above lowest polymorph = 0.048 eV/atom
VASP energy = -4.498 eV per atom
Spin magnetization = 0.00 μB/f.u.



Crystalline PmCdGaPd at its relaxed geometry, computed with PBE-GGA.

```
PmCdGaPd
1.0
4.906 0.000 0.000
2.453 4.248 0.000
2.453 1.416 4.006
Cd Ga Pd Pm
1 1 1 1
direct
0.750 0.750 0.750
0.000 0.000 0.000
0.500 0.500 0.500
0.250 0.250 0.250
```

## Properties
Energy of formation from the pure elements = -0.548 eV per atom
Symmetry = F-43m
VASP energy = -4.019 eV per atom
Spin magnetization = 0.00 μB/f.u.